A plane-wave DFT calculation with PBE was carried out for a relaxed Mg3BiH crystal.

```
Mg3BiH
1.0
-2.018 -1.110 -6.120
-6.463 -1.885 2.473
-1.891 8.706 -0.956
Mg Bi H
12 4 4
Cartesian
-5.846 3.246 0.344
-4.527 2.465 -4.947
-8.269 6.114 -2.871
-2.103 -0.403 -1.732
-6.802 2.924 -2.740
-3.571 2.787 -1.862
-7.293 6.448 0.276
-3.080 -0.736 -4.879
-4.015 0.456 0.600
-6.357 5.255 -5.202
-8.005 0.311 -1.552
-2.368 5.400 -3.051
-3.398 5.271 -6.076
-6.974 0.440 1.474
-5.267 5.417 -1.993
-5.106 0.294 -2.609
-3.973 2.476 0.067
-6.400 3.235 -4.670
-1.672 0.127 -3.759
-8.701 5.584 -0.844
```

Properties
calculated volume = 418.0 Å³/cell
crystal system = monoclinic
space group = P2_1/c
electronic total energy = -2.48 eV per atom